This record from Alexandria via LeMat-Bulk describes Pm7Nd2Y2 after structural relaxation. The functional is PBE-GGA.

Output
Density of states at the Fermi level = 1.4142 states/eV per atom
Crystal system = monoclinic
Energy relative to the lowest polymorph listed for this composition = 27 meV per atom

Lattice parameters (Å, degrees): 6.836 6.836 8.492 99.93 99.93 88.28
Element x y z (fractional)
1 Pm 0.000 0.000 0.000
2 Pm 0.099 0.506 0.819
3 Pm 0.302 0.302 0.483
4 Pm 0.494 0.901 0.181
5 Pm 0.506 0.099 0.819
6 Pm 0.698 0.698 0.517
7 Pm 0.901 0.494 0.181
8 Nd 0.403 0.403 0.159
9 Nd 0.597 0.597 0.841
10 Y 0.191 0.809 0.500
11 Y 0.809 0.191 0.500


This record from Alexandria via LeMat-Bulk describes LaPm2As after structural relaxation. The functional is PBE-GGA.

Output
Density of states at the Fermi level = 1.2986 states/eV per atom
Crystal system = tetragonal
Energy relative to the lowest polymorph listed for this composition = 60 meV per atom

Lattice parameters (Å, degrees): 3.866 3.866 7.687 90.00 90.00 90.00
Element x y z (fractional)
1 La 0.000 0.000 0.000
2 Pm 0.500 0.500 0.300
3 Pm 0.500 0.500 0.700
4 As 0.000 0.000 0.500


This record from Alexandria via LeMat-Bulk describes Ac2AlSn2Hg4 after structural relaxation. The functional is PBE-GGA.

Output
Density of states at the Fermi level = 0.4631 states/eV per atom
Crystal system = tetragonal
Total DFT energy (no corrections) = -24.46 eV for the cell shown

Lattice parameters (Å, degrees): 7.103 7.103 7.103 120.81 120.81 88.60
Element x y z (fractional)
1 Ac 0.250 0.750 0.500
2 Ac 0.750 0.250 0.500
3 Al 0.000 0.000 0.000
4 Sn 0.282 0.282 0.000
5 Sn 0.718 0.718 0.000
6 Hg 0.274 0.274 0.548
7 Hg 0.274 0.726 0.000
8 Hg 0.726 0.274 0.000
9 Hg 0.726 0.726 0.452


This record from Alexandria via LeMat-Bulk describes Li5ThIn4 after structural relaxation. The functional is PBE-GGA.

Output
Density of states at the Fermi level = 0.4514 states/eV per atom
Crystal system = orthorhombic
Total DFT energy (no corrections) = -29.69 eV for the cell shown

Lattice parameters (Å, degrees): 3.291 3.551 17.677 90.00 90.00 90.00
Element x y z (fractional)
1 Li 0.000 0.000 0.000
2 Li 0.000 0.000 0.188
3 Li 0.000 0.000 0.369
4 Li 0.000 0.000 0.631
5 Li 0.000 0.000 0.812
6 Th 0.500 0.500 0.500
7 In 0.500 0.500 0.093
8 In 0.500 0.500 0.287
9 In 0.500 0.500 0.713
10 In 0.500 0.500 0.907


This record from Alexandria via LeMat-Bulk describes DyIF2 after structural relaxation. The functional is PBE-GGA.

Output
Density of states at the Fermi level = 0.0000 states/eV per atom
Energy relative to the elements, uncorrected = -3.111 eV per atom
Crystal system = orthorhombic
Energy relative to the lowest polymorph listed for this composition = 0 meV per atom

Lattice parameters (Å, degrees): 6.180 6.180 7.126 90.00 90.00 144.02
Element x y z (fractional)
1 Dy 0.246 0.754 0.750
2 Dy 0.754 0.246 0.250
3 I 0.043 0.957 0.250
4 I 0.957 0.043 0.750
5 F 0.302 0.698 0.074
6 F 0.302 0.698 0.426
7 F 0.698 0.302 0.574
8 F 0.698 0.302 0.926


This record from Alexandria via LeMat-Bulk describes Ni2Sn6Pd after structural relaxation. The functional is PBE-GGA.

Output
Density of states at the Fermi level = 0.3769 states/eV per atom
Crystal system = trigonal
Total DFT energy (no corrections) = -126.90 eV for the cell shown

Lattice parameters (Å, degrees): 10.492 10.492 6.294 90.00 90.00 120.00
Element x y z (fractional)
1 Ni 0.000 0.298 0.000
2 Ni 0.000 0.702 0.000
3 Ni 0.298 0.000 0.000
4 Ni 0.298 0.298 0.000
5 Ni 0.702 0.000 0.000
6 Ni 0.702 0.702 0.000
7 Sn 0.104 0.552 0.795
8 Sn 0.113 0.225 0.689
9 Sn 0.113 0.887 0.689
10 Sn 0.216 0.432 0.263
11 Sn 0.216 0.784 0.263
12 Sn 0.225 0.113 0.311
13 Sn 0.432 0.216 0.737
14 Sn 0.448 0.552 0.795
15 Sn 0.448 0.896 0.795
16 Sn 0.552 0.104 0.205
17 Sn 0.552 0.448 0.205
18 Sn 0.568 0.784 0.263
19 Sn 0.775 0.887 0.689
20 Sn 0.784 0.216 0.737
21 Sn 0.784 0.568 0.737
22 Sn 0.887 0.113 0.311
23 Sn 0.887 0.775 0.311
24 Sn 0.896 0.448 0.205
25 Pd 0.000 0.000 0.000
26 Pd 0.333 0.667 0.517
27 Pd 0.667 0.333 0.483


This record from Alexandria via LeMat-Bulk describes TcPb2Se after structural relaxation. The functional is PBE-GGA.

Output
Density of states at the Fermi level = 0.4043 states/eV per atom
Energy relative to the elements, uncorrected = 0.716 eV per atom
Crystal system = cubic
Energy relative to the lowest polymorph listed for this composition = 706 meV per atom

Lattice parameters (Å, degrees): 5.179 5.179 5.179 60.00 60.00 60.00
Element x y z (fractional)
1 Tc 0.000 0.000 0.000
2 Pb 0.250 0.250 0.250
3 Pb 0.750 0.750 0.750
4 Se 0.500 0.500 0.500


This record from Alexandria via LeMat-Bulk describes Pm2NdO after structural relaxation. The functional is PBE-GGA.

Output
Density of states at the Fermi level = 1.1312 states/eV per atom
Energy relative to the elements, uncorrected = -1.277 eV per atom
Crystal system = trigonal

Lattice parameters (Å, degrees): 9.288 9.288 9.288 22.64 22.64 22.64
Element x y z (fractional)
1 Pm 0.218 0.218 0.218
2 Pm 0.782 0.782 0.782
3 Nd 0.000 0.000 0.000
4 O 0.500 0.500 0.500


This record from Alexandria via LeMat-Bulk describes PrGa4Ru after structural relaxation. The functional is PBE-GGA.

Output
Density of states at the Fermi level = 0.2718 states/eV per atom
Crystal system = orthorhombic
Total DFT energy (no corrections) = -58.63 eV for the cell shown

Lattice parameters (Å, degrees): 7.747 4.154 7.102 90.00 90.00 90.00
Element x y z (fractional)
1 Pr 0.250 0.000 0.132
2 Pr 0.750 0.000 0.868
3 Ga 0.000 0.000 0.500
4 Ga 0.067 0.500 0.820
5 Ga 0.250 0.500 0.460
6 Ga 0.433 0.500 0.820
7 Ga 0.500 0.000 0.500
8 Ga 0.567 0.500 0.180
9 Ga 0.750 0.500 0.540
10 Ga 0.933 0.500 0.180
11 Ru 0.250 0.000 0.697
12 Ru 0.750 0.000 0.303


This record from Alexandria via LeMat-Bulk describes LiYHo2 after structural relaxation. The functional is PBE-GGA.

Output
Density of states at the Fermi level = 1.0296 states/eV per atom
Crystal system = trigonal
Energy relative to the lowest polymorph listed for this composition = 26 meV per atom

Lattice parameters (Å, degrees): 11.386 11.386 11.386 17.60 17.60 17.60
Element x y z (fractional)
1 Li 0.000 0.000 0.000
2 Y 0.500 0.500 0.500
3 Ho 0.252 0.252 0.252
4 Ho 0.748 0.748 0.748


This record from Alexandria via LeMat-Bulk describes Ce4HoAu5 after structural relaxation. The functional is PBE-GGA.

Output
Density of states at the Fermi level = 2.7866 states/eV per atom
Crystal system = tetragonal
Total DFT energy (no corrections) = -51.19 eV for the cell shown

Lattice parameters (Å, degrees): 3.612 3.612 18.934 90.00 90.00 90.00
Element x y z (fractional)
1 Ce 0.000 0.000 0.101
2 Ce 0.000 0.000 0.303
3 Ce 0.000 0.000 0.697
4 Ce 0.000 0.000 0.899
5 Ho 0.000 0.000 0.500
6 Au 0.500 0.500 0.000
7 Au 0.500 0.500 0.202
8 Au 0.500 0.500 0.410
9 Au 0.500 0.500 0.590
10 Au 0.500 0.500 0.798


This record from Alexandria via LeMat-Bulk describes Ac8Te4IrPt3 after structural relaxation. The functional is PBE-GGA.

Output
Density of states at the Fermi level = 0.6308 states/eV per atom
Energy relative to the elements, uncorrected = -1.301 eV per atom
Crystal system = trigonal

Lattice parameters (Å, degrees): 9.545 9.545 9.545 55.55 55.55 55.55
Element x y z (fractional)
1 Ac 0.238 0.238 0.238
2 Ac 0.243 0.734 0.734
3 Ac 0.266 0.266 0.757
4 Ac 0.266 0.757 0.266
5 Ac 0.734 0.243 0.734
6 Ac 0.734 0.734 0.243
7 Ac 0.757 0.266 0.266
8 Ac 0.762 0.762 0.762
9 Te 0.000 0.000 0.000
10 Te 0.000 0.500 0.500
11 Te 0.500 0.000 0.500
12 Te 0.500 0.500 0.000
13 Ir 0.500 0.500 0.500
14 Pt 0.000 0.000 0.500
15 Pt 0.000 0.500 0.000
16 Pt 0.500 0.000 0.000


This record from Alexandria via LeMat-Bulk describes Ac5Te2Ru2 after structural relaxation. The functional is PBE-GGA.

Output
Density of states at the Fermi level = 0.6988 states/eV per atom
Energy relative to the elements, uncorrected = -0.717 eV per atom
Crystal system = orthorhombic

Lattice parameters (Å, degrees): 9.471 9.471 8.398 90.00 90.00 52.73
Element x y z (fractional)
1 Ac 0.000 0.000 0.000
2 Ac 0.044 0.723 0.659
3 Ac 0.223 0.544 0.159
4 Ac 0.277 0.956 0.659
5 Ac 0.456 0.777 0.159
6 Ac 0.500 0.500 0.500
7 Ac 0.544 0.223 0.841
8 Ac 0.723 0.044 0.341
9 Ac 0.777 0.456 0.841
10 Ac 0.956 0.277 0.341
11 Te 0.207 0.207 0.000
12 Te 0.293 0.293 0.500
13 Te 0.707 0.707 0.500
14 Te 0.793 0.793 0.000
15 Ru 0.142 0.858 0.359
16 Ru 0.358 0.642 0.859
17 Ru 0.642 0.358 0.141
18 Ru 0.858 0.142 0.641


This record from Alexandria via LeMat-Bulk describes BePdS after structural relaxation. The functional is PBE-GGA.

Output
Density of states at the Fermi level = 0.0000 states/eV per atom
Energy relative to the elements, uncorrected = -0.447 eV per atom
Crystal system = triclinic

Lattice parameters (Å, degrees): 3.388 3.390 4.599 80.17 89.79 60.02
Element x y z (fractional)
1 Be 0.000 0.000 0.000
2 Pd 0.741 0.522 0.367
3 S 0.637 0.728 0.846


This record from Alexandria via LeMat-Bulk describes Ho3Sc5Bi8 after structural relaxation. The functional is PBE-GGA.

Output
Density of states at the Fermi level = 0.2663 states/eV per atom
Crystal system = trigonal
Total DFT energy (no corrections) = -87.95 eV for the cell shown

Lattice parameters (Å, degrees): 8.685 8.685 8.685 60.01 60.01 60.01
Element x y z (fractional)
1 Ho 0.000 0.500 0.500
2 Ho 0.500 0.000 0.500
3 Ho 0.500 0.500 0.000
4 Sc 0.000 0.000 0.000
5 Sc 0.000 0.000 0.500
6 Sc 0.000 0.500 0.000
7 Sc 0.500 0.000 0.000
8 Sc 0.500 0.500 0.500
9 Bi 0.241 0.750 0.750
10 Bi 0.245 0.245 0.245
11 Bi 0.250 0.250 0.759
12 Bi 0.250 0.759 0.250
13 Bi 0.750 0.241 0.750
14 Bi 0.750 0.750 0.241
15 Bi 0.755 0.755 0.755
16 Bi 0.759 0.250 0.250


This record from Alexandria via LeMat-Bulk describes Pm4UPa3N8 after structural relaxation. The functional is PBE-GGA.

Output
Density of states at the Fermi level = 0.5565 states/eV per atom
Energy relative to the elements, uncorrected = -1.553 eV per atom
Crystal system = trigonal

Lattice parameters (Å, degrees): 7.080 7.080 7.080 60.12 60.12 60.12
Element x y z (fractional)
1 Pm 0.000 0.000 0.000
2 Pm 0.000 0.500 0.500
3 Pm 0.500 0.000 0.500
4 Pm 0.500 0.500 0.000
5 U 0.500 0.500 0.500
6 Pa 0.000 0.000 0.500
7 Pa 0.000 0.500 0.000
8 Pa 0.500 0.000 0.000
9 N 0.239 0.239 0.239
10 N 0.246 0.734 0.734
11 N 0.266 0.266 0.754
12 N 0.266 0.754 0.266
13 N 0.734 0.246 0.734
14 N 0.734 0.734 0.246
15 N 0.754 0.266 0.266
16 N 0.761 0.761 0.761


This record from Alexandria via LeMat-Bulk describes Y2BeAu after structural relaxation. The functional is PBE-GGA.

Output
Density of states at the Fermi level = 1.1179 states/eV per atom
Crystal system = monoclinic
Total DFT energy (no corrections) = -21.49 eV for the cell shown

Lattice parameters (Å, degrees): 3.877 4.370 5.613 90.00 106.91 90.00
Element x y z (fractional)
1 Y 0.000 0.000 0.000
2 Y 0.272 0.500 0.576
3 Be 0.700 0.000 0.427
4 Au 0.577 0.500 0.158


This record from Alexandria via LeMat-Bulk describes Pm4HfN5 after structural relaxation. The functional is PBE-GGA.

Output
Density of states at the Fermi level = 0.1899 states/eV per atom
Energy relative to the elements, uncorrected = -1.514 eV per atom
Crystal system = tetragonal

Lattice parameters (Å, degrees): 6.107 6.107 6.107 99.93 99.93 130.94
Element x y z (fractional)
1 Pm 0.103 0.300 0.403
2 Pm 0.300 0.897 0.197
3 Pm 0.700 0.103 0.803
4 Pm 0.897 0.700 0.597
5 Hf 0.534 0.534 0.000
6 N 0.224 0.593 0.816
7 N 0.408 0.224 0.632
8 N 0.593 0.776 0.368
9 N 0.776 0.408 0.184
10 N 0.948 0.948 0.000


This record from Alexandria via LeMat-Bulk describes Ta3Nb after structural relaxation. The functional is PBE-GGA.

Output
Density of states at the Fermi level = 1.5626 states/eV per atom
Crystal system = orthorhombic
Energy relative to the lowest polymorph listed for this composition = 5 meV per atom

Lattice parameters (Å, degrees): 5.755 5.755 4.690 90.00 90.00 109.38
Element x y z (fractional)
1 Ta 0.121 0.879 0.750
2 Ta 0.128 0.379 0.750
3 Ta 0.379 0.128 0.250
4 Ta 0.621 0.872 0.750
5 Ta 0.872 0.621 0.250
6 Ta 0.879 0.121 0.250
7 Nb 0.372 0.628 0.250
8 Nb 0.628 0.372 0.750


This record from Alexandria via LeMat-Bulk describes NdH8Ir2 after structural relaxation. The functional is PBE-GGA.

Output
Density of states at the Fermi level = 0.3712 states/eV per atom
Crystal system = tetragonal
Total DFT energy (no corrections) = -50.26 eV for the cell shown

Lattice parameters (Å, degrees): 5.908 5.908 5.908 135.59 135.59 64.61
Element x y z (fractional)
1 Nd 0.000 0.000 0.000
2 H 0.117 0.117 0.553
3 H 0.117 0.564 0.000
4 H 0.436 0.436 0.553
5 H 0.436 0.883 0.000
6 H 0.564 0.117 0.000
7 H 0.564 0.564 0.447
8 H 0.883 0.436 0.000
9 H 0.883 0.883 0.447
10 Ir 0.250 0.750 0.500
11 Ir 0.750 0.250 0.500


This record from Alexandria via LeMat-Bulk describes SrFe2S after structural relaxation. The functional is PBE-GGA.

Output
Density of states at the Fermi level = 0.9404 states/eV per atom
Energy relative to the elements, uncorrected = -0.105 eV per atom
Crystal system = tetragonal
Energy relative to the lowest polymorph listed for this composition = 0 meV per atom

Lattice parameters (Å, degrees): 8.206 8.206 8.206 146.95 146.95 47.43
Element x y z (fractional)
1 Sr 0.375 0.625 0.750
2 Sr 0.625 0.375 0.250
3 Fe 0.000 0.000 0.000
4 Fe 0.000 0.000 0.500
5 Fe 0.000 0.500 0.000
6 Fe 0.500 0.000 0.500
7 S 0.125 0.875 0.250
8 S 0.875 0.125 0.750


This record from Alexandria via LeMat-Bulk describes Ag2Sb2Se after structural relaxation. The functional is PBE-GGA.

Output
Density of states at the Fermi level = 0.4480 states/eV per atom
Energy relative to the elements, uncorrected = 0.207 eV per atom
Crystal system = tetragonal
Energy relative to the lowest polymorph listed for this composition = 45 meV per atom

Lattice parameters (Å, degrees): 7.461 7.461 4.346 90.00 90.00 90.00
Element x y z (fractional)
1 Ag 0.142 0.358 0.000
2 Ag 0.358 0.858 0.000
3 Ag 0.642 0.142 0.000
4 Ag 0.858 0.642 0.000
5 Sb 0.137 0.637 0.500
6 Sb 0.363 0.137 0.500
7 Sb 0.637 0.863 0.500
8 Sb 0.863 0.363 0.500
9 Se 0.000 0.000 0.000
10 Se 0.500 0.500 0.000


Total moment values, unit μB/atom, following the record order: 0.00 0.00 0.00 0.00 0.00 0.00 0.73 0.00 0.00 0.00 0.43 0.00 0.00 0.00 0.00 0.00 0.00 0.00 0.00 0.00 0.86 0.00.